# 1
DFT (GGA-PBE) results for a geometry-optimized BiB4O7 structure.

```
BiB4O7
1.0
11.3109 0.0000 0.0000
0.0000 4.6418 0.0000
0.0000 0.0000 4.2227
Bi B O
2 8 14
direct
0.0000 0.2006 0.0000
0.5000 0.7994 0.5000
0.1238 0.6696 0.3677
0.2405 0.8264 0.8329
0.2595 0.1736 0.3329
0.3762 0.3304 0.8677
0.6238 0.3304 0.8677
0.7405 0.1736 0.3329
0.7595 0.8264 0.8329
0.8762 0.6696 0.3677
0.0000 0.6762 0.2403
0.1302 0.7595 0.6866
0.1674 0.3852 0.2820
0.2097 0.8929 0.1773
0.2903 0.1071 0.6773
0.3326 0.6148 0.7820
0.3698 0.2405 0.1866
0.5000 0.3238 0.7403
0.6302 0.2405 0.1866
0.6674 0.6148 0.7820
0.7097 0.1071 0.6773
0.7903 0.8929 0.1773
0.8326 0.3852 0.2820
0.8698 0.7595 0.6866
```

V in Å³/f.u.: 110.9
ΔE_f (raw) in meV/atom: -2037
E_tot in eV per atom: -7.478
Symmetry: Pmn2_1, No. 31

# 2
DFT (GGA-PBE) results for a geometry-optimized TaPt2Au structure.

```
TaPt2Au
1.0
-1.9750 1.9750 4.2176
1.9750 -1.9750 4.2176
1.9750 1.9750 -4.2176
Ta Pt Au
1 2 1
direct
0.0000 0.0000 0.0000
0.2500 0.7500 0.5000
0.5000 0.5000 0.0000
0.7500 0.2500 0.5000
```

V in Å³/f.u.: 65.8
Energy of formation from the pure elements in meV/atom: -417
E_tot in eV per atom: -7.220
Symmetry: I-4m2, No. 119

# 3
DFT (GGA-PBE) results for a geometry-optimized Y2ThOs structure.

```
Y2ThOs
1.0
3.9065 0.0000 0.0000
0.0000 9.4254 0.0000
-1.9498 0.0000 6.0961
Y Th Os
4 2 2
direct
0.1451 0.0702 0.2900
0.1451 0.4298 0.2900
0.8549 0.5702 0.7100
0.8549 0.9298 0.7100
0.4227 0.2500 0.8445
0.5773 0.7500 0.1555
0.2362 0.7500 0.4720
0.7638 0.2500 0.5280
```

V in Å³/f.u.: 112.2
Energy of formation from the pure elements in meV/atom: -211
E_tot in eV per atom: -8.106
Symmetry: P2_1/m, No. 11

# 4
DFT (GGA-PBE) results for a geometry-optimized LiPmThRe structure.

```
LiPmThRe
1.0
0.0000 3.5845 3.5845
3.5845 0.0000 3.5845
3.5845 3.5845 0.0000
Li Pm Th Re
1 1 1 1
direct
0.0000 0.0000 0.0000
0.2500 0.2500 0.2500
0.7500 0.7500 0.7500
0.5000 0.5000 0.5000
```

V in Å³/f.u.: 92.1
Energy of formation from the pure elements in meV/atom: 77
E_tot in eV per atom: -6.556
Symmetry: F-43m, No. 216

# 5
DFT (GGA-PBE) results for a geometry-optimized YTlZnSe3 structure.

```
YTlZnSe3
1.0
9.1071 0.0000 0.0000
0.0000 4.1320 0.0000
-2.9265 0.0000 9.3074
Y Tl Zn Se
2 2 2 6
direct
0.1717 0.2500 0.1417
0.8283 0.7500 0.8583
0.2907 0.7500 0.7779
0.7093 0.2500 0.2221
0.4174 0.7500 0.3936
0.5826 0.2500 0.6064
0.0392 0.2500 0.8381
0.2964 0.2500 0.4654
0.3908 0.7500 0.1350
0.6092 0.2500 0.8650
0.7036 0.7500 0.5346
0.9608 0.7500 0.1619
```

V in Å³/f.u.: 175.1
ΔE_f (raw) in meV/atom: -1129
E_tot in eV per atom: -4.555
Symmetry: P2_1/m, No. 11

# 6
DFT (GGA-PBE) results for a geometry-optimized RbZn3O3 structure.

```
RbZn3O3
1.0
5.9637 0.0000 0.0000
0.0000 5.9637 0.0000
0.0000 0.0000 5.9637
Rb Zn O
2 6 6
direct
0.0000 0.0000 0.0000
0.5000 0.5000 0.5000
0.0000 0.2500 0.5000
0.0000 0.7500 0.5000
0.2500 0.5000 0.0000
0.5000 0.0000 0.2500
0.5000 0.0000 0.7500
0.7500 0.5000 0.0000
0.0000 0.5000 0.2500
0.0000 0.5000 0.7500
0.2500 0.0000 0.5000
0.5000 0.2500 0.0000
0.5000 0.7500 0.0000
0.7500 0.0000 0.5000
```

V in Å³/f.u.: 106.1
ΔE_f (raw) in meV/atom: -1097
E_tot in eV per atom: -3.906
Symmetry: Pm-3n, No. 223

# 7
DFT (GGA-PBE) results for a geometry-optimized VSiTc structure.

```
VSiTc
1.0
4.1684 0.0000 0.0000
-2.0842 3.6100 0.0000
0.0000 0.0000 2.7154
V Si Tc
1 1 1
direct
0.0000 0.0000 0.0000
0.6667 0.3333 0.5536
0.3333 0.6667 0.3384
```

V in Å³/f.u.: 40.9
ΔE_f (raw) in meV/atom: -286
E_tot in eV per atom: -8.589
Symmetry: P3m1, No. 156

# 8
DFT (GGA-PBE) results for a geometry-optimized BeNb2Sn structure.

```
BeNb2Sn
1.0
0.0000 3.2475 3.2475
3.2475 0.0000 3.2475
3.2475 3.2475 0.0000
Be Nb Sn
1 2 1
direct
0.0000 0.0000 0.0000
0.2500 0.2500 0.2500
0.7500 0.7500 0.7500
0.5000 0.5000 0.5000
```

V in Å³/f.u.: 68.5
Energy of formation from the pure elements in meV/atom: 280
E_tot in eV per atom: -6.687
Symmetry: Fm-3m, No. 225

| no. | DOS at the Fermi energy (states/eV/atom) |
| --- | --- |
| 1 | 0.14 |
| 2 | 0.78 |
| 3 | 1.30 |
| 4 | 0.80 |
| 5 | 0.00 |
| 6 | 0.16 |
| 7 | 0.76 |
| 8 | 1.42 |